Material: Rb2CrBiI6
Method: DFT, PBE-GGA
State: relaxed

Lattice parameters (Å, degrees): 8.5283 8.5283 8.5406 60.05 60.05 90.00
Closest atoms and distances in Å follow each position.
Fractional positions:
Rb1 0.7500 0.2500 0.5000  12 I 4.27
Rb2 0.2500 0.7500 0.5000  12 I 4.27
Bi1 0.0000 0.0000 0.0000  6 I 3.14
I1 0.7403 0.7403 0.5194  1 Cr 2.91, 1 Bi 3.14
I2 0.7395 0.7395 0.0000  1 Cr 2.89, 1 Bi 3.14
I3 0.2605 0.2605 0.0000  1 Cr 2.89, 1 Bi 3.14
I4 0.2605 0.7395 0.0000  1 Cr 2.89, 1 Bi 3.14
I5 0.2597 0.2597 0.4806  1 Cr 2.91, 1 Bi 3.14
I6 0.7395 0.2605 0.0000  1 Cr 2.89, 1 Bi 3.14
Cr1 0.5000 0.5000 0.0000  6 I 2.89-2.91

- SG: I4/mmm, No. 139
- Calculated total energy: -32.1 eV for the cell shown
- Formation energy from raw total energies: -736 meV per atom